one:
BaNaSb2 | PBE | optimized geometry

CIF file:
```
data_BaNaSb2
_symmetry_space_group_name_H-M 'I -4 2 d'
_symmetry_Int_Tables_number 122
_symmetry_space_group_name_Hall 'I -4 2bw'
_cell_length_a 5.571
_cell_length_b 5.571
_cell_length_c 20.335
_cell_angle_alpha 90.00
_cell_angle_beta 90.00
_cell_angle_gamma 90.00
loop_
_atom_site_label
_atom_site_type_symbol
_atom_site_fract_x
_atom_site_fract_y
_atom_site_fract_z
_atom_site_occupancy
Ba1 Ba 0.000 0.000 0.000 1
Na1 Na 0.000 0.000 0.500 1
Sb1 Sb 0.123 0.250 0.625 1
```

Density of states at the Fermi level: 3.22 states/eV per cell
Crystal system: tetragonal

two:
BaNaSb2 | PBE | optimized geometry

CIF file:
```
data_BaNaSb2
_symmetry_space_group_name_H-M 'P n m a'
_symmetry_Int_Tables_number 62
_symmetry_space_group_name_Hall '-P 2ac 2n'
_cell_length_a 8.872
_cell_length_b 4.933
_cell_length_c 12.994
_cell_angle_alpha 90.00
_cell_angle_beta 90.00
_cell_angle_gamma 90.00
loop_
_atom_site_label
_atom_site_type_symbol
_atom_site_fract_x
_atom_site_fract_y
_atom_site_fract_z
_atom_site_occupancy
Ba1 Ba 0.145 0.250 0.162 1
Na1 Na 0.142 0.250 0.443 1
Sb1 Sb 0.039 0.250 0.670 1
Sb2 Sb 0.163 0.250 0.870 1
```

Density of states at the Fermi level: 7.95 states/eV per cell
Crystal system: orthorhombic

three:
BaNaSb2 | PBE | optimized geometry

CIF file:
```
data_BaNaSb2
_symmetry_space_group_name_H-M 'P 4/m m m'
_symmetry_Int_Tables_number 123
_symmetry_space_group_name_Hall '-P 4 2'
_cell_length_a 5.126
_cell_length_b 5.126
_cell_length_c 4.924
_cell_angle_alpha 90.00
_cell_angle_beta 90.00
_cell_angle_gamma 90.00
loop_
_atom_site_label
_atom_site_type_symbol
_atom_site_fract_x
_atom_site_fract_y
_atom_site_fract_z
_atom_site_occupancy
Ba1 Ba 0.000 0.000 0.000 1
Na1 Na 0.500 0.500 0.000 1
Sb1 Sb 0.000 0.500 0.500 1
```

Density of states at the Fermi level: 2.10 states/eV per cell
Crystal system: tetragonal

Short version: one is the least stable of them.

one:
BaNaSb2 | PBE | optimized geometry

CIF file:
```
data_BaNaSb2
_symmetry_space_group_name_H-M 'F m -3 m'
_symmetry_Int_Tables_number 225
_symmetry_space_group_name_Hall '-F 4 2 3'
_cell_length_a 8.127
_cell_length_b 8.127
_cell_length_c 8.127
_cell_angle_alpha 90.00
_cell_angle_beta 90.00
_cell_angle_gamma 90.00
loop_
_atom_site_label
_atom_site_type_symbol
_atom_site_fract_x
_atom_site_fract_y
_atom_site_fract_z
_atom_site_occupancy
Ba1 Ba 0.000 0.000 0.000 1
Na1 Na 0.000 0.000 0.500 1
Sb1 Sb 0.250 0.250 0.250 1
```

Density of states at the Fermi level: 12.02 states/eV per cell
Crystal system: cubic

two:
BaNaSb2 | PBE | optimized geometry

CIF file:
```
data_BaNaSb2
_symmetry_space_group_name_H-M 'P n m a'
_symmetry_Int_Tables_number 62
_symmetry_space_group_name_Hall '-P 2ac 2n'
_cell_length_a 9.268
_cell_length_b 5.161
_cell_length_c 12.043
_cell_angle_alpha 90.00
_cell_angle_beta 90.00
_cell_angle_gamma 90.00
loop_
_atom_site_label
_atom_site_type_symbol
_atom_site_fract_x
_atom_site_fract_y
_atom_site_fract_z
_atom_site_occupancy
Ba1 Ba 0.124 0.250 0.131 1
Na1 Na 0.006 0.750 0.393 1
Sb1 Sb 0.167 0.250 0.826 1
Sb2 Sb 0.236 0.250 0.421 1
```

Density of states at the Fermi level: 3.27 states/eV per cell
Crystal system: orthorhombic

Short version: one is the least stable of them.

one:
BaNa2Sb2 | PBE | optimized geometry

CIF file:
```
data_BaNa2Sb2
_symmetry_space_group_name_H-M 'P 4/m b m'
_symmetry_Int_Tables_number 127
_symmetry_space_group_name_Hall '-P 4 2ab'
_cell_length_a 9.219
_cell_length_b 9.219
_cell_length_c 3.573
_cell_angle_alpha 90.00
_cell_angle_beta 90.00
_cell_angle_gamma 90.00
loop_
_atom_site_label
_atom_site_type_symbol
_atom_site_fract_x
_atom_site_fract_y
_atom_site_fract_z
_atom_site_occupancy
Ba1 Ba 0.000 0.000 0.000 1
Na1 Na 0.114 0.386 0.000 1
Sb1 Sb 0.183 0.683 0.500 1
```

Density of states at the Fermi level: 4.58 states/eV per cell
Crystal system: tetragonal

two:
BaNa2Sb2 | PBE | optimized geometry

CIF file:
```
data_BaNa2Sb2
_symmetry_space_group_name_H-M 'P 1 21/m 1'
_symmetry_Int_Tables_number 11
_symmetry_space_group_name_Hall '-P 2yb'
_cell_length_a 5.028
_cell_length_b 4.906
_cell_length_c 13.710
_cell_angle_alpha 90.00
_cell_angle_beta 93.88
_cell_angle_gamma 90.00
loop_
_atom_site_label
_atom_site_type_symbol
_atom_site_fract_x
_atom_site_fract_y
_atom_site_fract_z
_atom_site_occupancy
Ba1 Ba 0.199 0.250 0.261 1
Na1 Na 0.251 0.750 0.499 1
Na2 Na 0.319 0.250 0.865 1
Sb1 Sb 0.172 0.750 0.000 1
Sb2 Sb 0.277 0.250 0.649 1
```

Density of states at the Fermi level: 4.01 states/eV per cell
Crystal system: monoclinic

Short version: one is the least stable of them.